# 1
Below is a geometry-optimized Rb2LiFe structure, with properties calculated at the PBE level.

Properties
magnetic moment	2.97	μB/f.u.
formation energy	0.89	eV/atom
DOS at the Fermi energy	0.565	states/eV per atom
symmetry	Fm-3m

a b c (Å): 6.2508 6.2508 6.2508
angles (deg): 60.00 60.00 60.00
Last column: nearest neighbours and their distance in Å.
Fractional positions:
Rb 0.2500 0.2500 0.2500  4 Fe 3.83, 4 Li 3.83
Rb 0.7500 0.7500 0.7500  4 Fe 3.83, 4 Li 3.83
Li 0.0000 0.0000 0.0000  8 Rb 3.83
Fe 0.5000 0.5000 0.5000  8 Rb 3.83



# 2
Below is a geometry-optimized Th4CoC2S structure, with properties calculated at the PBE level.

Properties
magnetic moment	0.00	μB/f.u.
DOS at the Fermi energy	0.708	states/eV per atom
symmetry	P2/m
E	-64.6	eV/cell

a b c (Å): 6.7465 3.8150 6.8759
angles (deg): 90.00 107.83 90.00
Last column: nearest neighbours and their distance in Å.
Fractional positions:
Th 0.2309 0.0000 0.2242  3 C 2.64-2.72, 1 Co 2.80, 2 S 2.90
Th 0.2529 0.5000 0.7771  3 C 2.62-2.68, 2 Co 2.86, 1 S 2.89
Th 0.7471 0.5000 0.2229  3 C 2.62-2.68, 2 Co 2.86, 1 S 2.89
Th 0.7691 0.0000 0.7758  3 C 2.64-2.72, 1 Co 2.80, 2 S 2.90
Co 0.0000 0.0000 0.5000  6 Th 2.80-2.86
C 0.0000 0.5000 0.0000  6 Th 2.62-2.64
C 0.5000 0.0000 0.0000  6 Th 2.68-2.72
S 0.5000 0.5000 0.5000  6 Th 2.89-2.90



# 3
Below is a geometry-optimized Sr2SbIr structure, with properties calculated at the PBE level.

Properties
magnetic moment	0.00	μB/f.u.
DOS at the Fermi energy	0.704	states/eV per atom
symmetry	P4mm
E	-17.1	eV/cell

a b c (Å): 3.7040 3.7040 9.0542
angles (deg): 90.00 90.00 90.00
Last column: nearest neighbours and their distance in Å.
Fractional positions:
Sr 0.0000 0.0000 0.0000  1 Ir 3.21, 4 Sb 3.48
Sr 0.5000 0.5000 0.3940  1 Sb 3.19, 4 Ir 3.47
Sb 0.5000 0.5000 0.7462  4 Ir 2.77
Ir 0.0000 0.0000 0.6451  4 Sb 2.77